(1)
This record from Alexandria describes a relaxed structure of TbNd2Lu. The functional is PBE-GGA.

Output
Its crystal system is cubic. The calculation puts the excess energy over the best structure of this formula in the dataset at 85.5 meV per atom. The uncorrected energy is -4.57 eV per atom. The size of the total moment is 0.00 μB per cell.

CIF file:
```
data_TbNd2Lu
_symmetry_space_group_name_H-M 'F m -3 m'
_symmetry_Int_Tables_number 225
_symmetry_space_group_name_Hall '-F 4 2 3'
_cell_length_a 8.093
_cell_length_b 8.093
_cell_length_c 8.093
_cell_angle_alpha 90.00
_cell_angle_beta 90.00
_cell_angle_gamma 90.00
loop_
_atom_site_label
_atom_site_fract_x
_atom_site_fract_y
_atom_site_fract_z
_atom_site_occupancy
Tb1 0.000 0.000 0.000 1
Nd1 0.250 0.250 0.250 1
Lu1 0.000 0.000 0.500 1
```



(2)
This record from Alexandria describes a relaxed structure of Pr5SnPt2. The functional is PBE-GGA.

Output
Its crystal system is tetragonal. The uncorrected energy is -5.80 eV per atom. The size of the total moment is 0.00 μB per cell.

CIF file:
```
data_Pr5SnPt2
_symmetry_space_group_name_H-M 'I 4/m c m'
_symmetry_Int_Tables_number 140
_symmetry_space_group_name_Hall '-I 4 2c'
_cell_length_a 8.157
_cell_length_b 8.157
_cell_length_c 13.949
_cell_angle_alpha 90.00
_cell_angle_beta 90.00
_cell_angle_gamma 90.00
loop_
_atom_site_label
_atom_site_fract_x
_atom_site_fract_y
_atom_site_fract_z
_atom_site_occupancy
Pr1 0.000 0.000 0.000 1
Pr2 0.160 0.340 0.139 1
Sn1 0.000 0.000 0.250 1
Pt1 0.134 0.366 0.500 1
```



(3)
This record from Alexandria describes a relaxed structure of Pm3SiI3. The functional is PBE-GGA.

Output
The calculation puts the uncorrected formation energy at -1.166 eV/atom. Its crystal system is monoclinic. The calculation puts the excess energy over the best structure of this formula in the dataset at 0.0 meV per atom. The uncorrected energy is -4.64 eV per atom. The size of the total moment is 0.00 μB per cell.

CIF file:
```
data_Pm3SiI3
_symmetry_space_group_name_H-M 'P 1 21/m 1'
_symmetry_Int_Tables_number 11
_cell_length_a 9.079
_cell_length_b 4.315
_cell_length_c 12.481
_cell_angle_alpha 90.00
_cell_angle_beta 90.80
_cell_angle_gamma 90.00
loop_
_symmetry_equiv_pos_as_xyz
'x,y,z'
'-x,-y,-z'
'-x,y+1/2,-z'
'x,-y+1/2,z'
loop_
_atom_site_label
_atom_site_fract_x
_atom_site_fract_y
_atom_site_fract_z
_atom_site_occupancy
Pm1 0.100 0.250 0.385 1
Pm2 0.118 0.250 0.841 1
Pm3 0.322 0.750 0.621 1
Si1 0.117 0.250 0.618 1
I1 0.136 0.250 0.119 1
I2 0.371 0.750 0.875 1
I3 0.384 0.750 0.366 1
```



(4)
This record from Alexandria describes a relaxed structure of Zr2CrAu. The functional is PBE-GGA.

Output
Its crystal system is trigonal. The calculation puts the excess energy over the best structure of this formula in the dataset at 376.6 meV per atom. The uncorrected energy is -7.32 eV per atom. The size of the total moment is 10.64 μB per cell.

CIF file:
```
data_Zr2CrAu
_symmetry_space_group_name_H-M 'R 3 m'
_symmetry_Int_Tables_number 160
_symmetry_space_group_name_Hall 'R 3 -2"'
_cell_length_a 3.1818
_cell_length_b 3.1818
_cell_length_c 27.8238
_cell_angle_alpha 90.00
_cell_angle_beta 90.00
_cell_angle_gamma 120.00
loop_
_atom_site_label
_atom_site_fract_x
_atom_site_fract_y
_atom_site_fract_z
_atom_site_occupancy
Zr1 0.0000 0.0000 0.0000 1
Zr2 0.0000 0.0000 0.2410 1
Cr1 0.0000 0.0000 0.4934 1
Au1 0.0000 0.0000 0.7497 1
```



(5)
This record from Alexandria describes a relaxed structure of AcMgAs4. The functional is PBE-GGA.

Output
Its crystal system is cubic. The uncorrected energy is -4.34 eV per atom. The size of the total moment is 0.00 μB per cell.

CIF file:
```
data_AcMgAs4
_symmetry_space_group_name_H-M 'F -4 3 m'
_symmetry_Int_Tables_number 216
_symmetry_space_group_name_Hall 'F -4 2 3'
_cell_length_a 8.217
_cell_length_b 8.217
_cell_length_c 8.217
_cell_angle_alpha 90.00
_cell_angle_beta 90.00
_cell_angle_gamma 90.00
loop_
_atom_site_label
_atom_site_fract_x
_atom_site_fract_y
_atom_site_fract_z
_atom_site_occupancy
Ac1 0.000 0.000 0.000 1
Mg1 0.250 0.250 0.250 1
As1 0.120 0.120 0.620 1
```



(6)
This record from Alexandria describes a relaxed structure of Sc2Se2I. The functional is PBE-GGA.

Output
The calculation puts the uncorrected formation energy at -1.482 eV/atom. Its crystal system is orthorhombic. The calculation puts the excess energy over the best structure of this formula in the dataset at 29.7 meV per atom. The uncorrected energy is -5.72 eV per atom. The size of the total moment is 0.00 μB per cell.

CIF file:
```
data_Sc2Se2I
_symmetry_space_group_name_H-M 'I m m m'
_symmetry_Int_Tables_number 71
_symmetry_space_group_name_Hall '-I 2 2'
_cell_length_a 4.039
_cell_length_b 5.323
_cell_length_c 12.601
_cell_angle_alpha 90.00
_cell_angle_beta 90.00
_cell_angle_gamma 90.00
loop_
_atom_site_label
_atom_site_fract_x
_atom_site_fract_y
_atom_site_fract_z
_atom_site_occupancy
Sc1 0.000 0.000 0.190 1
Se1 0.000 0.500 0.172 1
I1 0.000 0.500 0.500 1
```



(7)
This record from Alexandria describes a relaxed structure of ZrSiSn3. The functional is PBE-GGA.

Output
The calculation puts the uncorrected formation energy at 0.788 eV/atom. Its crystal system is cubic. The calculation puts the excess energy over the best structure of this formula in the dataset at 100.1 meV per atom. The uncorrected energy is -4.41 eV per atom. The size of the total moment is 0.00 μB per cell.

CIF file:
```
data_ZrSiSn3
_symmetry_space_group_name_H-M 'P m -3 m'
_symmetry_Int_Tables_number 221
_symmetry_space_group_name_Hall '-P 4 2 3'
_cell_length_a 5.526
_cell_length_b 5.526
_cell_length_c 5.526
_cell_angle_alpha 90.00
_cell_angle_beta 90.00
_cell_angle_gamma 90.00
loop_
_atom_site_label
_atom_site_fract_x
_atom_site_fract_y
_atom_site_fract_z
_atom_site_occupancy
Zr1 0.000 0.000 0.000 1
Si1 0.500 0.500 0.500 1
Sn1 0.000 0.000 0.500 1
```



(8)
This record from Alexandria describes a relaxed structure of MgAg2Cl. The functional is PBE-GGA.

Output
The calculation puts the uncorrected formation energy at -0.229 eV/atom. Its crystal system is tetragonal. The calculation puts the excess energy over the best structure of this formula in the dataset at 178.7 meV per atom. The uncorrected energy is -2.51 eV per atom. The size of the total moment is 0.00 μB per cell.

CIF file:
```
data_MgAg2Cl
_symmetry_space_group_name_H-M 'P 4/m m m'
_symmetry_Int_Tables_number 123
_symmetry_space_group_name_Hall '-P 4 2'
_cell_length_a 3.869
_cell_length_b 3.869
_cell_length_c 5.550
_cell_angle_alpha 90.00
_cell_angle_beta 90.00
_cell_angle_gamma 90.00
loop_
_atom_site_label
_atom_site_fract_x
_atom_site_fract_y
_atom_site_fract_z
_atom_site_occupancy
Mg1 0.000 0.000 0.000 1
Ag1 0.000 0.500 0.500 1
Cl1 0.500 0.500 0.000 1
```



(9)
This record from Alexandria describes a relaxed structure of Li2AcCu. The functional is PBE-GGA.

Output
Its crystal system is tetragonal. The calculation puts the excess energy over the best structure of this formula in the dataset at 203.4 meV per atom. The uncorrected energy is -2.84 eV per atom. The size of the total moment is 0.00 μB per cell.

CIF file:
```
data_Li2AcCu
_symmetry_space_group_name_H-M 'P 4/m m m'
_symmetry_Int_Tables_number 123
_symmetry_space_group_name_Hall '-P 4 2'
_cell_length_a 3.546
_cell_length_b 3.546
_cell_length_c 7.310
_cell_angle_alpha 90.00
_cell_angle_beta 90.00
_cell_angle_gamma 90.00
loop_
_atom_site_label
_atom_site_fract_x
_atom_site_fract_y
_atom_site_fract_z
_atom_site_occupancy
Li1 0.000 0.000 0.167 1
Ac1 0.500 0.500 0.500 1
Cu1 0.500 0.500 0.000 1
```



(10)
This record from Alexandria describes a relaxed structure of Tm3Zn3Cu2. The functional is PBE-GGA.

Output
Its crystal system is hexagonal. The uncorrected energy is -3.46 eV per atom. The size of the total moment is 0.00 μB per cell.

CIF file:
```
data_Tm3Zn3Cu2
_symmetry_space_group_name_H-M 'P -6 2 m'
_symmetry_Int_Tables_number 189
_symmetry_space_group_name_Hall 'P -6 -2'
_cell_length_a 6.9863
_cell_length_b 6.9863
_cell_length_c 3.7474
_cell_angle_alpha 90.00
_cell_angle_beta 90.00
_cell_angle_gamma 120.00
loop_
_atom_site_label
_atom_site_fract_x
_atom_site_fract_y
_atom_site_fract_z
_atom_site_occupancy
Tm1 0.0000 0.4032 0.0000 1
Zn1 0.0000 0.7685 0.5000 1
Cu1 0.3333 0.6667 0.5000 1
```



(11)
This record from Alexandria describes a relaxed structure of CePm3Pr4. The functional is PBE-GGA.

Output
Its crystal system is monoclinic. The uncorrected energy is -4.68 eV per atom. The size of the total moment is 1.48 μB per cell.

CIF file:
```
data_CePm3Pr4
_symmetry_space_group_name_H-M 'C 1 2/m 1'
_symmetry_Int_Tables_number 12
_cell_length_a 25.743
_cell_length_b 3.504
_cell_length_c 6.274
_cell_angle_alpha 90.00
_cell_angle_beta 96.06
_cell_angle_gamma 90.00
loop_
_symmetry_equiv_pos_as_xyz
'x,y,z'
'-x,-y,-z'
'-x,y,-z'
'x,-y,z'
'x+1/2,y+1/2,z'
'-x+1/2,-y+1/2,-z'
'-x+1/2,y+1/2,-z'
'x+1/2,-y+1/2,z'
loop_
_atom_site_label
_atom_site_fract_x
_atom_site_fract_y
_atom_site_fract_z
_atom_site_occupancy
Ce1 0.000 0.000 0.000 1
Pm1 0.000 0.500 0.500 1
Pm2 0.143 0.500 0.746 1
Pr1 0.103 0.500 0.229 1
Pr2 0.221 0.000 0.236 1
```



(12)
This record from Alexandria describes a relaxed structure of BaSc. The functional is PBE-GGA.

Output
Its crystal system is monoclinic. The calculation puts the excess energy over the best structure of this formula in the dataset at 122.9 meV per atom. The uncorrected energy is -3.77 eV per atom. The size of the total moment is 0.01 μB per cell.

CIF file:
```
data_BaSc
_symmetry_space_group_name_H-M 'C 1 2/m 1'
_symmetry_Int_Tables_number 12
_cell_length_a 13.463
_cell_length_b 3.846
_cell_length_c 6.477
_cell_angle_alpha 90.00
_cell_angle_beta 110.49
_cell_angle_gamma 90.00
loop_
_symmetry_equiv_pos_as_xyz
'x,y,z'
'-x,-y,-z'
'-x,y,-z'
'x,-y,z'
'x+1/2,y+1/2,z'
'-x+1/2,-y+1/2,-z'
'-x+1/2,y+1/2,-z'
'x+1/2,-y+1/2,z'
loop_
_atom_site_label
_atom_site_fract_x
_atom_site_fract_y
_atom_site_fract_z
_atom_site_occupancy
Ba1 0.103 0.000 0.317 1
Sc1 0.159 0.500 0.866 1
```



| no. | Fermi-level density of states (states/eV/f.u.) |
| --- | --- |
| 1 | 6.86 |
| 2 | 7.09 |
| 3 | 1.78 |
| 4 | 4.02 |
| 5 | 1.42 |
| 6 | 2.80 |
| 7 | 5.36 |
| 8 | 1.28 |
| 9 | 2.80 |
| 10 | 7.28 |
| 11 | 13.30 |
| 12 | 3.49 |